No. 1
The following is a DFT calculation (GGA-PBE) of a relaxed ScHgRh crystal.

calculated density: 9.45 g/cm³
SG: I4/mmm, No. 139
total energy: -5.0478 eV/atom

Structure (POSCAR):
```
ScHgRh
1.0
3.474 0.000 0.000
0.000 3.474 0.000
-1.737 -1.737 10.154
Hg Sc Rh
2 2 2
direct
0.296 0.296 0.592 Hg
0.704 0.704 0.408 Hg
0.108 0.108 0.217 Sc
0.892 0.892 0.783 Sc
0.563 0.563 0.127 Rh
0.437 0.437 0.873 Rh
```

No. 2
The following is a DFT calculation (GGA-PBE) of a relaxed Cd4Ni5 crystal.

energy above the lowest structure with this stoichiometry: 0 meV/atom
calculated density: 9.13 g/cm³
SG: I4/mmm, No. 139
total energy: -3.5160 eV/atom

Structure (POSCAR):
```
Cd4Ni5
1.0
-4.116 4.116 1.995
4.116 -4.116 1.995
4.116 4.116 -1.995
Cd Ni
4 5
direct
0.689 0.000 0.689 Cd
0.311 0.000 0.311 Cd
0.000 0.311 0.311 Cd
0.000 0.689 0.689 Cd
0.000 0.000 0.000 Ni
0.654 0.346 0.000 Ni
0.346 0.346 0.691 Ni
0.654 0.654 0.309 Ni
0.346 0.654 0.000 Ni
```

No. 3
The following is a DFT calculation (GGA-PBE) of a relaxed TbEuCdPt crystal.

calculated density: 10.44 g/cm³
SG: F-43m, No. 216
total energy: -6.0932 eV/atom

Structure (POSCAR):
```
TbEuCdPt
1.0
-2.373 3.025 3.474
-2.158 -2.099 4.218
2.138 0.766 4.658
Eu Tb Pt Cd
1 1 1 1
direct
0.500 0.500 0.500 Eu
0.000 0.000 0.000 Tb
0.750 0.750 0.750 Pt
0.250 0.250 0.250 Cd
```

No. 4
The following is a DFT calculation (GGA-PBE) of a relaxed LiLaSb2 crystal.

formation energy without anion corrections: -0.91 eV/atom
energy above the lowest structure with this stoichiometry: 0 meV/atom
calculated density: 6.03 g/cm³
SG: P4/nmm, No. 129
total energy: -4.6801 eV/atom

Structure (POSCAR):
```
LiLaSb2
1.0
4.384 0.000 0.000
0.000 4.384 0.000
0.000 0.000 11.160
Li La Sb
2 2 4
direct
0.500 0.500 0.000 Li
0.000 0.000 0.000 Li
0.000 0.500 0.263 La
0.500 0.000 0.737 La
0.500 0.000 0.159 Sb
0.000 0.500 0.841 Sb
0.000 0.000 0.500 Sb
0.500 0.500 0.500 Sb
```

No. 5
The following is a DFT calculation (GGA-PBE) of a relaxed Sm4TlSn2 crystal.

calculated density: 7.35 g/cm³
SG: R-3m, No. 166
total energy: -4.5722 eV/atom

Structure (POSCAR):
```
Sm4TlSn2
1.0
-2.134 -3.974 -2.147
2.516 -4.301 -0.351
-3.827 -5.861 8.838
Sm Tl Sn
4 1 2
direct
0.702 0.702 0.893 Sm
0.880 0.880 0.361 Sm
0.298 0.298 0.107 Sm
0.120 0.120 0.639 Sm
0.500 0.500 0.500 Tl
0.598 0.598 0.206 Sn
0.402 0.402 0.794 Sn
```

No. 6
The following is a DFT calculation (GGA-PBE) of a relaxed BaZr2TlPb crystal.

calculated density: 6.42 g/cm³
SG: P4/mmm, No. 123
total energy: -4.2764 eV/atom

Structure (POSCAR):
```
BaZr2TlPb
1.0
-5.092 0.790 -2.210
-0.664 -5.949 -0.598
-2.264 -0.262 5.123
Pb Tl Ba Zr
1 1 1 2
direct
0.000 0.000 0.000 Pb
0.000 0.500 0.000 Tl
0.500 0.500 0.500 Ba
0.000 0.000 0.500 Zr
0.500 0.000 0.000 Zr
```